Density functional theory data (PBE-GGA) for a relaxed Nd6DyY2 crystal.

Cell lengths 5.6993, 8.9811, 8.9811 Å; angles 46.53, 71.63, 71.63 degrees
Last column: nearest neighbours and their distance in Å.
Positions (direct):
Y1 0.8679 0.6317 0.6317  8 Nd 3.45-3.77
Y2 0.1321 0.3683 0.3683  8 Nd 3.45-3.77
Nd1 0.6107 0.6612 0.1179  3 Nd 3.24-3.42, 2 Y 3.45-3.46
Nd2 0.3893 0.3388 0.8821  3 Nd 3.24-3.42, 2 Y 3.45-3.46
Nd3 0.3893 0.8821 0.3388  3 Nd 3.24-3.42, 2 Y 3.45-3.46
Nd4 0.6107 0.1179 0.6612  3 Nd 3.24-3.42, 2 Y 3.45-3.46
Nd5 0.2140 0.7857 0.7857  1 Dy 3.32, 6 Nd 3.33-3.65, 1 Y 3.71
Nd6 0.7860 0.2143 0.2143  1 Dy 3.32, 6 Nd 3.33-3.65, 1 Y 3.71
Dy1 0.0000 0.0000 0.0000  10 Nd 3.32-3.70

total energy = -4.9723 eV per atom
space group = C2/m (12)
E above lowest polymorph = 0.00 eV per formula unit
DOS at the Fermi energy = 15.6 states/eV/f.u.
formation energy from the elements = 0.154 eV/atom

***

Density functional theory data (PBE-GGA) for a relaxed SrCoP2 crystal.

Cell lengths 3.7240, 4.6397, 4.6988 Å; angles 90.00, 90.00, 90.00 degrees
Last column: nearest neighbours and their distance in Å.
Positions (direct):
Co1 0.5000 0.7500 0.7500  4 P 2.23
P1 0.0000 0.7499 0.4872  2 P 2.23-2.47, 2 Co 2.23
P2 0.0000 0.7501 0.0128  2 P 2.23-2.47, 2 Co 2.23
Sr1 0.5000 0.2500 0.2500  8 P 3.18, 4 Co 3.30

total energy = -5.5350 eV per atom
space group = Pmmm (47)
E above lowest polymorph = 0.11 eV per formula unit
DOS at the Fermi energy = 2.2 states/eV/f.u.
formation energy from the elements = -0.633 eV/atom

***

Density functional theory data (PBE-GGA) for a relaxed La12SmPb4N3 crystal.

Cell lengths 9.0465, 9.0465, 9.0465 Å; angles 109.47, 109.47, 109.47 degrees
Last column: nearest neighbours and their distance in Å.
Positions (direct):
N1 0.0000 0.5000 0.5000  6 La 2.37-2.61
N2 0.5000 0.5000 0.0000  6 La 2.37-2.61
N3 0.5000 0.0000 0.5000  6 La 2.37-2.61
La1 0.2500 0.5000 0.7500  2 N 2.61
La2 0.2733 0.0000 0.2733  1 N 2.37
La3 0.2500 0.7500 0.5000  2 N 2.61
La4 0.7267 0.0000 0.7267  1 N 2.37
La5 0.5000 0.7500 0.2500  2 N 2.61
La6 0.7267 0.7267 0.0000  1 N 2.37
La7 0.0000 0.2733 0.2733  1 N 2.37
La8 0.7500 0.5000 0.2500  2 N 2.61
La9 0.5000 0.2500 0.7500  2 N 2.61
La10 0.2733 0.2733 0.0000  1 N 2.37
La11 0.0000 0.7267 0.7267  1 N 2.37
La12 0.7500 0.2500 0.5000  2 N 2.61
Sm1 0.0000 0.0000 0.0000  6 La 2.86
Pb1 0.5000 0.0000 0.0000  12 La 3.69-3.70
Pb2 0.0000 0.5000 0.0000  12 La 3.69-3.70
Pb3 0.5000 0.5000 0.5000  12 La 3.69-3.70
Pb4 0.0000 0.0000 0.5000  12 La 3.69-3.70

total energy = -5.7739 eV per atom
space group = Im-3m (229)
DOS at the Fermi energy = 17.5 states/eV/f.u.
E_form (uncorrected) = -591 meV/atom

***

Density functional theory data (PBE-GGA) for a relaxed LiLaFe crystal.

Cell lengths 4.3961, 4.3961, 3.2277 Å; angles 90.00, 90.00, 120.00 degrees
Last column: nearest neighbours and their distance in Å.
Positions (direct):
Li1 0.3333 0.6667 0.6780  6 Fe 2.95-3.07, 6 La 3.01, 2 Li 3.23
Fe1 0.0000 0.0000 0.1451  3 La 2.54
La1 0.6667 0.3333 0.1769  3 Fe 2.54

total energy = -4.6620 eV per atom
space group = P3m1 (156)
E above lowest polymorph = 0.77 eV per formula unit
DOS at the Fermi energy = 2.4 states/eV/f.u.
formation energy from the elements = 0.439 eV/atom

***

Density functional theory data (PBE-GGA) for a relaxed Na2PbSe2 crystal.

Cell lengths 4.2139, 4.2139, 7.8905 Å; angles 74.51, 74.51, 90.00 degrees
Last column: nearest neighbours and their distance in Å.
Positions (direct):
Na1 0.2500 0.7500 0.5000  4 Se 2.87, 4 Na 2.98
Na2 0.7500 0.2500 0.5000  4 Se 2.87, 4 Na 2.98
Se1 0.3830 0.3830 0.2341  4 Na 2.87
Se2 0.6170 0.6170 0.7659  4 Na 2.87
Pb1 0.0000 0.0000 0.0000  8 Se 3.44

total energy = -3.2762 eV per atom
space group = I4/mmm (139)
E above lowest polymorph = 0.86 eV per formula unit
DOS at the Fermi energy = 0.0 states/eV/f.u.
E_form (uncorrected) = -613 meV/atom

***

Density functional theory data (PBE-GGA) for a relaxed ZnAgRu2 crystal.

Cell lengths 2.7301, 2.7301, 9.2757 Å; angles 90.00, 90.00, 118.08 degrees
Last column: nearest neighbours and their distance in Å.
Positions (direct):
Ag1 0.5000 0.5000 0.7453  6 Ag 2.73-2.81, 2 Zn 2.76, 2 Ru 2.88
Ru1 0.5000 0.5000 0.2490  8 Ru 2.57-2.81, 2 Zn 2.64
Ru2 0.0000 0.0000 0.0163  8 Ru 2.57-2.81, 2 Ag 2.88
Zn1 0.0000 0.0000 0.4894  2 Ru 2.64, 6 Zn 2.73-2.81, 2 Ag 2.76

total energy = -5.3616 eV per atom
space group = Cmm2 (35)
DOS at the Fermi energy = 3.5 states/eV/f.u.
formation energy from the elements = 0.308 eV/atom